Record 1
VASP calculation (SCAN) on a PBEsol-optimized structure of Na2CdMo2.

```
data_Na2CdMo2
_chemical_formula_sum 'Na4 Cd2 Mo4'
_symmetry_space_group_name_H-M 'I 4/m m m'
_symmetry_Int_Tables_number 139
_symmetry_space_group_name_Hall '-I 4 2'
_cell_length_a 3.477
_cell_length_b 3.477
_cell_length_c 19.456
_cell_angle_alpha 90.00
_cell_angle_beta 90.00
_cell_angle_gamma 90.00
loop_
_atom_site_label
_atom_site_fract_x
_atom_site_fract_y
_atom_site_fract_z
Na1 0.000 0.000 0.108
Cd1 0.000 0.000 0.500
Mo1 0.000 0.500 0.250
```

Properties
Formation energy from the elements   0.691 eV/atom

Record 2
VASP calculation (SCAN) on a PBEsol-optimized structure of CdReHg2I.

```
data_CdReHg2I
_chemical_formula_sum 'Cd1 Re1 Hg2 I1'
_symmetry_space_group_name_H-M 'P 4/m m m'
_symmetry_Int_Tables_number 123
_symmetry_space_group_name_Hall '-P 4 2'
_cell_length_a 6.808
_cell_length_b 6.808
_cell_length_c 5.547
_cell_angle_alpha 90.00
_cell_angle_beta 90.00
_cell_angle_gamma 90.00
loop_
_atom_site_label
_atom_site_fract_x
_atom_site_fract_y
_atom_site_fract_z
Cd1 0.000 0.000 0.000
Re1 0.500 0.500 0.000
Hg1 0.000 0.500 0.500
I1 0.000 0.000 0.500
```

Properties
DFT total energy   -265.66 eV for the cell shown